(1)
# NaCuSnRh

A relaxed NaCuSnRh crystal (GGA-PBE, the Alexandria database).

Properties
Mass density, g cm⁻³: 7.64
Energy of formation, meV per atom: -40
Size of the total moment, μB per formula unit: 0.00
E, eV/atom: -4.23

abc: 4.5587 4.5587 4.5587
angles: 60.00 60.00 60.00
With the nearest neighbours (Å) after each atom.
Sites, in units of the cell vectors:
Na1 0.7500 0.7500 0.7500  4 Cu 2.79, 4 Rh 2.79
Rh1 0.0000 0.0000 0.0000  4 Sn 2.79, 4 Na 2.79
Sn1 0.2500 0.2500 0.2500  4 Rh 2.79, 4 Cu 2.79
Cu1 0.5000 0.5000 0.5000  4 Na 2.79, 4 Sn 2.79

---

(2)
# NaYCuRh2

A relaxed NaYCuRh2 crystal (GGA-PBE, the Alexandria database).

Properties
Mass density, g cm⁻³: 6.64
Energy of formation, meV per atom: 630
Size of the total moment, μB per formula unit: 0.00
E, eV/atom: -4.69

abc: 4.6863 4.3424 4.6863
angles: 90.00 90.00 90.00
With the nearest neighbours (Å) after each atom.
Sites, in units of the cell vectors:
Y1 0.5000 0.5000 0.5000  8 Rh 3.19, 4 Cu 3.31
Na1 0.0000 0.0000 0.0000  2 Cu 2.17, 4 Rh 2.34
Rh1 0.0000 0.0000 0.5000  2 Na 2.34
Rh2 0.5000 0.0000 0.0000  2 Na 2.34
Cu1 0.0000 0.5000 0.0000  2 Na 2.17

---

(3)
# NaCuRu2

A relaxed NaCuRu2 crystal (GGA-PBE, the Alexandria database).

Properties
Mass density, g cm⁻³: 7.45
Energy of formation, meV per atom: 910
E above lowest polymorph, eV/f.u.: 0.000
Size of the total moment, μB per formula unit: 0.00
E, eV/atom: -5.08

abc: 3.6265 3.6265 10.1104
angles: 79.67 79.67 90.00
With the nearest neighbours (Å) after each atom.
Sites, in units of the cell vectors:
Ru1 0.6465 0.1250 0.2500  4 Ru 2.46-2.68, 2 Cu 2.74
Ru2 0.1035 0.6250 0.2500  4 Ru 2.46-2.68, 2 Cu 2.74
Ru3 0.3750 0.3535 0.7500  4 Ru 2.46-2.68, 2 Cu 2.74
Ru4 0.8750 0.8965 0.7500  4 Ru 2.46-2.68, 2 Cu 2.74
Cu1 0.0000 0.0000 0.0000  4 Na 2.56, 4 Ru 2.74
Cu2 0.7500 0.2500 0.5000  4 Na 2.56, 4 Ru 2.74
Na1 0.5000 0.5000 0.0000  4 Cu 2.56, 4 Ru 2.79
Na2 0.2500 0.7500 0.5000  4 Cu 2.56, 4 Ru 2.79

---

(4)
# NaCuRu3

A relaxed NaCuRu3 crystal (GGA-PBE, the Alexandria database).

Properties
Mass density, g cm⁻³: 6.63
Energy of formation, meV per atom: 1611
E above lowest polymorph, eV/f.u.: 0.000
Size of the total moment, μB per formula unit: 5.44
E, eV/atom: -5.04

abc: 4.6048 4.6048 4.6048
angles: 90.00 90.00 90.00
With the nearest neighbours (Å) after each atom.
Sites, in units of the cell vectors:
Ru1 0.0000 0.5000 0.0000  2 Cu 2.30
Ru2 0.0000 0.0000 0.5000  2 Cu 2.30
Ru3 0.5000 0.0000 0.0000  2 Cu 2.30
Cu1 0.0000 0.0000 0.0000  6 Ru 2.30
Na1 0.5000 0.5000 0.5000  12 Ru 3.26

---

(5)
# NaCu2Ru

A relaxed NaCu2Ru crystal (GGA-PBE, the Alexandria database).

Properties
Mass density, g cm⁻³: 6.44
Energy of formation, meV per atom: 985
E above lowest polymorph, eV/f.u.: 1.523
Size of the total moment, μB per formula unit: 1.17
E, eV/atom: -3.71

abc: 3.8162 3.8162 9.2897
angles: 78.15 78.15 90.00
With the nearest neighbours (Å) after each atom.
Sites, in units of the cell vectors:
Ru1 0.0000 0.0000 0.0000  4 Cu 2.56, 4 Na 2.70
Ru2 0.7500 0.2500 0.5000  4 Cu 2.56, 4 Na 2.70
Cu1 0.6573 0.1250 0.2500  2 Cu 2.53, 2 Ru 2.56, 2 Na 2.65
Cu2 0.0927 0.6250 0.2500  2 Cu 2.53, 2 Ru 2.56, 2 Na 2.65
Cu3 0.3750 0.3427 0.7500  2 Cu 2.53, 2 Ru 2.56, 2 Na 2.65
Cu4 0.8750 0.9073 0.7500  2 Cu 2.53, 2 Ru 2.56, 2 Na 2.65
Na1 0.5000 0.5000 0.0000  4 Cu 2.65, 4 Ru 2.70
Na2 0.2500 0.7500 0.5000  4 Cu 2.65, 4 Ru 2.70

---

(6)
# NaCu2Ru

A relaxed NaCu2Ru crystal (GGA-PBE, the Alexandria database).

Properties
Mass density, g cm⁻³: 7.12
Energy of formation, meV per atom: 605
E above lowest polymorph, eV/f.u.: 0.000
Size of the total moment, μB per formula unit: 1.03
E, eV/atom: -4.09

abc: 4.3593 4.3593 4.3593
angles: 60.00 60.00 60.00
With the nearest neighbours (Å) after each atom.
Sites, in units of the cell vectors:
Ru1 0.5000 0.5000 0.5000  8 Cu 2.67
Cu1 0.2500 0.2500 0.2500  4 Na 2.67, 4 Ru 2.67
Cu2 0.7500 0.7500 0.7500  4 Na 2.67, 4 Ru 2.67
Na1 0.0000 0.0000 0.0000  8 Cu 2.67

---

(7)
# Na3CuRu

A relaxed Na3CuRu crystal (GGA-PBE, the Alexandria database).

Properties
Mass density, g cm⁻³: 2.70
Energy of formation, meV per atom: 1164
E above lowest polymorph, eV/f.u.: 0.000
Size of the total moment, μB per formula unit: 2.08
E, eV/atom: -2.30

abc: 5.2361 5.2361 5.2361
angles: 90.00 90.00 90.00
With the nearest neighbours (Å) after each atom.
Sites, in units of the cell vectors:
Ru1 0.5000 0.5000 0.5000  12 Na 3.70
Cu1 0.0000 0.0000 0.0000  6 Na 2.62
Na1 0.0000 0.5000 0.0000  2 Cu 2.62
Na2 0.0000 0.0000 0.5000  2 Cu 2.62
Na3 0.5000 0.0000 0.0000  2 Cu 2.62

---

(8)
# Na3CuRu

A relaxed Na3CuRu crystal (GGA-PBE, the Alexandria database).

Properties
Mass density, g cm⁻³: 2.21
Energy of formation, meV per atom: 1263
E above lowest polymorph, eV/f.u.: 0.499
Size of the total moment, μB per formula unit: 2.00
E, eV/atom: -2.20

abc: 5.5982 5.5982 5.5982
angles: 90.00 90.00 90.00
With the nearest neighbours (Å) after each atom.
Sites, in units of the cell vectors:
Ru1 0.0000 0.0000 0.0000  6 Na 2.80
Cu1 0.5000 0.5000 0.5000  12 Na 3.96
Na1 0.0000 0.5000 0.0000  2 Ru 2.80
Na2 0.0000 0.0000 0.5000  2 Ru 2.80
Na3 0.5000 0.0000 0.0000  2 Ru 2.80